{"formula": "SrGaCl2", "functional": "PBE", "state": "optimized geometry", "cell": [[2.606, 0.000, 8.790], [-1.303, 2.257, 8.790], [-1.303, -2.257, 8.790]], "species": ["Sr", "Ga", "Cl", "Cl"], "frac_coords": [[0.000, 0.000, 0.000], [0.500, 0.500, 0.500], [0.895, 0.895, 0.895], [0.105, 0.105, 0.105]], "de_polymorph_mev_per_atom": 354, "dft_energy_ev_per_atom": -3.166, "volume_a3_per_cell": 155.05, "formation_energy_uncorrected_ev_per_atom": -1.065}


{"formula": "Sr4Ga2Cl", "functional": "PBE", "state": "optimized geometry", "cell": [[-3.782, 4.341, -1.062], [-2.319, -0.717, 5.327], [7.984, 3.176, 0.687]], "species": ["Sr", "Sr", "Sr", "Sr", "Ga", "Ga", "Cl"], "frac_coords": [[0.796, 0.796, 0.591], [0.204, 0.204, 0.409], [0.000, 0.500, 0.000], [0.500, 0.000, 0.000], [0.593, 0.593, 0.185], [0.407, 0.407, 0.815], [0.000, 0.000, 0.000]], "dft_energy_ev_per_atom": -2.719, "volume_a3_per_cell": 259.11, "formation_energy_uncorrected_ev_per_atom": -0.629}


{"formula": "SrGaCl", "functional": "PBE", "state": "optimized geometry", "cell": [[-1.951, -2.834, 2.082], [-0.635, 0.386, -3.954], [10.739, -9.331, -2.636]], "species": ["Ga", "Ga", "Cl", "Cl", "Sr", "Sr"], "frac_coords": [[0.558, 0.115, 0.000], [0.545, 0.091, 0.500], [0.557, 0.115, 0.291], [0.557, 0.115, 0.709], [0.224, 0.449, 0.834], [0.224, 0.449, 0.166]], "dft_energy_ev_per_atom": -3.122, "volume_a3_per_cell": 202.72, "formation_energy_uncorrected_ev_per_atom": -0.937}